1.
DFT (PBE) results for an optimized crystal structure of ZrAs2Pd.

Cell: 4.5138 4.5138 3.4373 Å, 90.00 90.00 90.00°
Space group P4/mmm (No. 123)
Inequivalent atoms, fractional coordinates:
Zr: 0.0000 0.0000 0.0000 x1
As: 0.0000 0.5000 0.5000 x2
Pd: 0.5000 0.5000 0.0000 x1

## Properties
For the electronic total energy, the calculation gives -6.419 eV per atom. The calculation puts the volume at 70.0 Å³ per cell. The value obtained for the energy of formation from the pure elements is -254.3 kJ/mol of formula units.

2.
DFT (PBE) results for an optimized crystal structure of Pm4PrP5.

Cell: 4.1499 5.8607 20.7253 Å, 90.00 90.00 90.00°
Space group Immm (No. 71)
Inequivalent atoms, fractional coordinates:
Pm: 0.0000 0.0000 0.1004 x4
Pm: 0.0000 0.0000 0.2994 x4
Pr: 0.0000 0.0000 0.5000 x2
P: 0.0000 0.5000 0.1016 x4
P: 0.0000 0.5000 0.3001 x4
P: 0.0000 0.5000 0.5000 x2

## Properties
For the electronic total energy, the calculation gives -6.636 eV per atom. The calculation puts the volume at 504.1 Å³ per cell. The value obtained for the energy of formation from the pure elements is -1498.5 kJ/mol of formula units.

3.
DFT (PBE) results for an optimized crystal structure of La3SnSCl.

Cell: 8.1512 4.4041 10.6864 Å, 90.00 110.21 90.00°
Space group P2_1/m (No. 11)
Inequivalent atoms, fractional coordinates:
La: 0.1784 0.2500 0.1644 x2
La: 0.2987 0.7500 0.5090 x2
La: 0.3102 0.7500 0.8807 x2
Sn: 0.4940 0.7500 0.2597 x2
S: 0.0785 0.2500 0.8842 x2
Cl: 0.0308 0.2500 0.3871 x2

## Properties
For the electronic total energy, the calculation gives -5.595 eV per atom. The uncorrected formation energy is -1.469 eV per atom. The calculation puts the volume at 360.0 Å³ per cell.

4.
DFT (PBE) results for an optimized crystal structure of Cs2TaIO.

Cell: 7.0274 7.0274 3.9666 Å, 90.00 90.00 90.00°
Space group P4/mmm (No. 123)
Inequivalent atoms, fractional coordinates:
Cs: 0.0000 0.5000 0.0000 x2
Ta: 0.0000 0.0000 0.5000 x1
I: 0.5000 0.5000 0.5000 x1
O: 0.0000 0.0000 0.0000 x1

## Properties
For the electronic total energy, the calculation gives -4.788 eV per atom. The uncorrected formation energy is -0.774 eV per atom. The calculation puts the volume at 195.9 Å³ per cell.

Computed total magnetic moment (μB/cell) in order:
0.0, 0.0, 2.7, 2.0